No. 1
A geometry-optimized Rb2TaAlS6 structure. Source: OQMD, functional PBE-GGA.

abc: 6.872 6.872 6.872
angles: 59.74 59.74 59.74
Fractional positions:
Al (0.504, 0.504, 0.504)
Rb (0.248, 0.248, 0.248)
Rb (0.749, 0.749, 0.749)
S (0.748, 0.749, 0.246)
S (0.743, 0.252, 0.252)
S (0.252, 0.743, 0.252)
S (0.252, 0.252, 0.743)
S (0.749, 0.246, 0.748)
S (0.246, 0.748, 0.749)
Ta (0.006, 0.006, 0.006)

Properties
**Space-group type**: R3m, No. 160
**Spin magnetization**: 0.00 μB per atom
**E**: -5.01 eV per atom
**Mass density**: 4.16 g/cm3
**V**: 22.81 Å³ per atom


No. 2
A geometry-optimized Li2UN2 structure. Source: OQMD, functional PBE-GGA.

abc: 6.013 6.013 5.495
angles: 90.00 90.00 120.00
Last column: magnetic moment on the atom in μB.
Fractional positions:
Li (0.329, 0.338, 0.395)  0.01
Li (0.009, 0.671, 0.395)  0.01
Li (0.662, 0.991, 0.395)  0.01
Li (0.338, 0.009, 0.605)  0.01
Li (0.991, 0.329, 0.605)  0.01
Li (0.671, 0.662, 0.605)  0.01
N (0.000, 0.334, 0.228)  -0.07
N (0.666, 0.667, 0.228)  -0.07
N (0.333, 0.000, 0.228)  -0.07
N (0.667, 0.000, 0.772)  -0.07
N (0.334, 0.333, 0.772)  -0.07
N (0.000, 0.666, 0.772)  -0.07
U (0.000, 0.000, 0.000)  1.90
U (0.667, 0.333, 0.004)  1.90
U (0.333, 0.667, 0.996)  1.90

Properties
**Space-group type**: P-3, No. 147
**Spin magnetization**: 0.40 μB per atom
**E**: -7.27 eV per atom
**Mass density**: 8.11 g/cm3
**V**: 11.47 Å³ per atom


No. 3
A geometry-optimized PaNbAs structure. Source: OQMD, functional PBE-GGA.

abc: 4.683 4.683 4.683
angles: 60.00 60.00 60.00
Fractional positions:
As (0.250, 0.250, 0.250)
Nb (0.750, 0.750, 0.750)
Pa (0.000, 0.000, 0.000)

Properties
**Space-group type**: F-43m, No. 216
**Offset from the most stable computed form**: 590 meV per atom
**Spin magnetization**: 0.11 μB per atom
**Mass density**: 9.12 g/cm3
**V**: 24.21 Å³ per atom


No. 4
A geometry-optimized PmNdBe structure. Source: OQMD, functional PBE-GGA.

abc: 4.890 4.890 4.890
angles: 60.00 60.00 60.00
Fractional positions:
Be (0.250, 0.250, 0.250)
Nd (0.750, 0.750, 0.750)
Pm (0.000, 0.000, 0.000)

Properties
**Space-group type**: F-43m, No. 216
**Spin magnetization**: 0.00 μB per atom
**E**: -3.57 eV per atom
**Mass density**: 5.99 g/cm3
**V**: 27.55 Å³ per atom